(1)
GGA-PBE PbS2Cl, optimized geometry; DOS(E_F) = 13.34 states/eV/cell; spin magnetization = 0.000 μB/f.u.; offset from the most stable computed form = 1245 meV/atom
1.0
3.2536 0.0000 0.0000
-1.6268 2.8177 0.0000
0.0000 0.0000 28.9631
Pb S Cl
3 6 3
Direct
0.0000 0.0000 0.0000
0.3333 0.6667 0.6667
0.6667 0.3333 0.3333
0.0000 0.0000 0.0938
0.0000 0.0000 0.9062
0.3333 0.6667 0.5729
0.3333 0.6667 0.7604
0.6667 0.3333 0.2396
0.6667 0.3333 0.4271
0.0000 0.0000 0.5000
0.3333 0.6667 0.1667
0.6667 0.3333 0.8333

(2)
GGA-PBE PbS5Cl, optimized geometry; DOS(E_F) = 7.70 states/eV/cell; spin magnetization = 0.000 μB/f.u.; raw total energy = -54.32 eV per cell
1.0
5.0771 0.0000 0.0000
0.0000 20.7239 0.0000
-0.1246 0.0000 4.5486
Pb S Cl
2 10 2
Direct
0.0000 0.0000 0.0000
0.5000 0.5000 0.0000
0.0000 0.2017 0.0000
0.0026 0.5572 0.2840
0.1403 0.2618 0.6707
0.3597 0.7618 0.3293
0.4974 0.0572 0.7160
0.5000 0.7017 0.0000
0.5026 0.0572 0.2840
0.6403 0.7618 0.6707
0.8597 0.2618 0.3293
0.9974 0.5572 0.7160
0.0000 0.9199 0.5000
0.5000 0.4199 0.5000

(3)
GGA-PBE PbSCl3, optimized geometry; DOS(E_F) = 7.32 states/eV/cell; spin magnetization = 2.558 μB/f.u.; offset from the most stable computed form = 553 meV/atom
1.0
5.5201 0.0000 0.0000
0.0000 5.5201 0.0000
0.0000 0.0000 5.5201
Pb S Cl
1 1 3
Direct
0.0000 0.0000 0.0000
0.5000 0.5000 0.5000
0.0000 0.0000 0.5000
0.0000 0.5000 0.0000
0.5000 0.0000 0.0000

(4)
GGA-PBE Pb3SCl3, optimized geometry; DOS(E_F) = 3.28 states/eV/cell; spin magnetization = 0.000 μB/f.u.; offset from the most stable computed form = 23 meV/atom
1.0
4.1855 -5.4987 0.0000
4.1855 5.4987 0.0000
-1.4208 0.0000 9.5123
Pb S Cl
6 2 6
Direct
0.0628 0.4434 0.7384
0.2370 0.2370 0.1207
0.4434 0.0628 0.7384
0.5566 0.9372 0.2616
0.7630 0.7630 0.8793
0.9372 0.5566 0.2616
0.0973 0.0973 0.8437
0.9027 0.9027 0.1563
0.1976 0.8024 0.5000
0.3236 0.6764 0.0000
0.4409 0.4409 0.6578
0.5591 0.5591 0.3422
0.6764 0.3236 0.0000
0.8024 0.1976 0.5000

(5)
GGA-PBE PbS2Cl, optimized geometry; DOS(E_F) = 6.92 states/eV/cell; spin magnetization = 0.999 μB/f.u.; offset from the most stable computed form = 729 meV/atom
1.0
7.2760 0.0000 0.0000
0.0000 7.2760 0.0000
0.0000 0.0000 8.3573
Pb S Cl
4 8 4
Direct
0.0000 0.0000 0.0000
0.0000 0.5000 0.2500
0.5000 0.0000 0.7500
0.5000 0.5000 0.5000
0.2134 0.2500 0.1250
0.2500 0.7134 0.3750
0.2500 0.7866 0.8750
0.2866 0.2500 0.6250
0.7134 0.7500 0.6250
0.7500 0.2134 0.8750
0.7500 0.2866 0.3750
0.7866 0.7500 0.1250
0.0000 0.0000 0.5000
0.0000 0.5000 0.7500
0.5000 0.0000 0.2500
0.5000 0.5000 0.0000

(6)
GGA-PBE Pb4SCl6, optimized geometry; DOS(E_F) = 0.00 states/eV/cell; spin magnetization = 0.000 μB/f.u.; raw total energy = -82.12 eV per cell
1.0
10.1377 0.0000 0.0000
-5.0689 8.7795 0.0000
0.0000 0.0000 7.3654
Pb S Cl
8 2 12
Direct
0.1874 0.3747 0.0000
0.1874 0.8126 0.0000
0.3333 0.6667 0.4947
0.3747 0.1874 0.5000
0.6253 0.8126 0.0000
0.6667 0.3333 0.9947
0.8126 0.1874 0.5000
0.8126 0.6253 0.5000
0.3333 0.6667 0.8750
0.6667 0.3333 0.3750
0.0730 0.5365 0.2516
0.1507 0.3014 0.6013
0.1507 0.8493 0.6013
0.3014 0.1507 0.1013
0.4635 0.5365 0.2516
0.4635 0.9270 0.2516
0.5365 0.0730 0.7516
0.5365 0.4635 0.7516
0.6986 0.8493 0.6013
0.8493 0.1507 0.1013
0.8493 0.6986 0.1013
0.9270 0.4635 0.7516

(7)
GGA-PBE Pb5S5Cl, optimized geometry; DOS(E_F) = 5.37 states/eV/cell; spin magnetization = 0.000 μB/f.u.; raw total energy = -46.25 eV per cell
1.0
6.5984 -2.9528 0.0000
6.5984 2.9528 0.0000
-2.8588 0.0000 8.1660
Pb S Cl
5 5 1
Direct
0.0000 0.0000 0.0000
0.3273 0.3273 0.1839
0.3323 0.3323 0.6383
0.6677 0.6677 0.3617
0.6727 0.6727 0.8161
0.1691 0.1691 0.3277
0.1768 0.1768 0.8590
0.5000 0.5000 0.5000
0.8232 0.8232 0.1410
0.8309 0.8309 0.6723
0.5000 0.5000 0.0000

(8)
GGA-PBE PbS8Cl2, optimized geometry; DOS(E_F) = 0.85 states/eV/cell; spin magnetization = 0.000 μB/f.u.; raw total energy = -39.76 eV per cell
1.0
8.5224 -3.1187 0.0000
8.5224 3.1187 0.0000
-0.8973 0.0000 5.8440
Pb S Cl
1 8 2
Direct
0.0000 0.0000 0.0000
0.1241 0.5901 0.1160
0.3613 0.3613 0.8529
0.4099 0.8759 0.8840
0.4110 0.4110 0.3512
0.5890 0.5890 0.6488
0.5901 0.1241 0.1160
0.6387 0.6387 0.1471
0.8759 0.4099 0.8840
0.1052 0.1052 0.4254
0.8948 0.8948 0.5746

(9)
GGA-PBE PbS2Cl, optimized geometry; DOS(E_F) = 15.89 states/eV/cell; spin magnetization = 1.967 μB/f.u.; offset from the most stable computed form = 861 meV/atom
1.0
7.0441 0.0000 0.0000
0.0000 7.0441 0.0000
0.0000 0.0000 7.0441
Pb S Cl
4 8 4
Direct
0.0000 0.0000 0.0000
0.0000 0.5000 0.5000
0.5000 0.0000 0.5000
0.5000 0.5000 0.0000
0.2500 0.2500 0.2500
0.2500 0.2500 0.7500
0.2500 0.7500 0.2500
0.2500 0.7500 0.7500
0.7500 0.2500 0.2500
0.7500 0.2500 0.7500
0.7500 0.7500 0.2500
0.7500 0.7500 0.7500
0.0000 0.0000 0.5000
0.0000 0.5000 0.0000
0.5000 0.0000 0.0000
0.5000 0.5000 0.5000

(10)
GGA-PBE Pb2SCl2, optimized geometry; DOS(E_F) = 0.16 states/eV/cell; spin magnetization = 0.000 μB/f.u.; offset from the most stable computed form = 182 meV/atom
1.0
7.8814 0.0000 0.0000
0.0000 7.8814 0.0000
0.0000 0.0000 4.4048
Pb S Cl
4 2 4
Direct
0.1841 0.3159 0.0000
0.3159 0.8159 0.0000
0.6841 0.1841 0.0000
0.8159 0.6841 0.0000
0.0000 0.0000 0.0000
0.5000 0.5000 0.0000
0.1479 0.6479 0.5000
0.3521 0.1479 0.5000
0.6479 0.8521 0.5000
0.8521 0.3521 0.5000

(11)
GGA-PBE Pb2S2Cl, optimized geometry; DOS(E_F) = 6.25 states/eV/cell; spin magnetization = 0.000 μB/f.u.; raw total energy = -39.94 eV per cell
1.0
7.0283 0.0000 0.0000
2.2160 6.7710 0.0000
1.1047 3.3836 6.5187
Pb S Cl
4 4 2
Direct
0.0061 0.1703 0.2050
0.4939 0.6249 0.2050
0.5061 0.3751 0.7950
0.9939 0.8297 0.7950
0.2502 0.4506 0.0986
0.2495 0.7499 0.4995
0.7505 0.2501 0.5005
0.7498 0.5494 0.9014
0.2501 0.0628 0.8740
0.7499 0.9372 0.1260

(12)
GGA-PBE Pb2SCl, optimized geometry; DOS(E_F) = 7.37 states/eV/cell; spin magnetization = 0.000 μB/f.u.; offset from the most stable computed form = 202 meV/atom
1.0
6.9241 0.0000 0.0000
0.0000 6.9241 0.0000
0.0000 0.0000 12.7901
Pb S Cl
8 4 4
Direct
0.2179 0.2500 0.1250
0.2500 0.7179 0.3750
0.2500 0.7821 0.8750
0.2821 0.2500 0.6250
0.7179 0.7500 0.6250
0.7500 0.2179 0.8750
0.7500 0.2821 0.3750
0.7821 0.7500 0.1250
0.0000 0.0000 0.0000
0.0000 0.5000 0.2500
0.5000 0.0000 0.7500
0.5000 0.5000 0.5000
0.0000 0.0000 0.5000
0.0000 0.5000 0.7500
0.5000 0.0000 0.2500
0.5000 0.5000 0.0000